1.
A plane-wave DFT calculation with GGA-PBE was carried out for a geometry-optimized Hf2CrGaAs structure.

abc: 4.952 4.325 4.952
angles: 90.00 90.00 90.00
Sites, in units of the cell vectors:
As (0.000, 0.000, 0.000)
Cr (0.000, 0.500, 0.000)
Hf (0.500, 0.000, 0.000)
Hf (0.000, 0.000, 0.500)
Ga (0.500, 0.500, 0.500)

Properties
Crystal system: tetragonal
Energy relative to the elements, meV per atom: 422.4
DOS at the Fermi energy, states/eV per cell: 5.946


2.
A plane-wave DFT calculation with GGA-PBE was carried out for a geometry-optimized TbSm2Sn2 structure.

abc: 4.471 8.154 8.154
angles: 90.00 90.00 90.00
Sites, in units of the cell vectors:
Sm (0.500, 0.671, 0.829)
Sm (0.500, 0.329, 0.171)
Sm (0.500, 0.829, 0.329)
Sm (0.500, 0.171, 0.671)
Tb (0.000, 0.500, 0.500)
Tb (0.000, 0.000, 0.000)
Sn (0.000, 0.131, 0.369)
Sn (0.000, 0.369, 0.869)
Sn (0.000, 0.869, 0.631)
Sn (0.000, 0.631, 0.131)

Properties
Crystal system: tetragonal
Energy relative to the elements, meV per atom: -701.2
ΔE to the lowest computed polymorph, meV per atom: 0
DOS at the Fermi energy, states/eV per cell: 9.481


3.
A plane-wave DFT calculation with GGA-PBE was carried out for a geometry-optimized ScCoPd structure.

abc: 4.371 4.371 5.429
angles: 90.00 90.00 120.00
Sites, in units of the cell vectors:
Co (0.333, 0.667, 0.750)
Co (0.667, 0.333, 0.250)
Pd (0.000, 0.000, 0.500)
Pd (0.000, 0.000, 0.000)
Sc (0.333, 0.667, 0.250)
Sc (0.667, 0.333, 0.750)

Properties
Crystal system: hexagonal
Energy relative to the elements, meV per atom: -406.3
DOS at the Fermi energy, states/eV per cell: 4.623